Record 1
The following is a DFT calculation (PBE-GGA) of a relaxed ScFeMoPb crystal.

abc: 6.562 6.562 6.562
angles: 90.00 90.00 90.00
Space group F-43m (No. 216)
Symmetry-distinct sites (fractional):
Sc1 0.000 0.000 0.000 x4
Fe1 0.250 0.250 0.750 x4
Mo1 0.250 0.250 0.250 x4
Pb1 0.000 0.000 0.500 x4

Summary:
* DFT total energy: -6.872 eV/atom

---

Record 2
The following is a DFT calculation (PBE-GGA) of a relaxed KTcO3 crystal.

abc: 3.903 3.903 3.903
angles: 90.00 90.00 90.00
Space group Pm-3m (No. 221)
Symmetry-distinct sites (fractional):
K1 0.000 0.000 0.000 x1
Tc1 0.500 0.500 0.500 x1
O1 0.000 0.500 0.500 x3

Summary:
* DFT total energy: -6.837 eV/atom

---

Record 3
The following is a DFT calculation (PBE-GGA) of a relaxed MgBeCuB crystal.

abc: 5.540 5.540 5.540
angles: 90.00 90.00 90.00
Space group F-43m (No. 216)
Symmetry-distinct sites (fractional):
Mg1 0.000 0.000 0.000 x4
Be1 0.250 0.250 0.750 x4
Cu1 0.000 0.000 0.500 x4
B1 0.250 0.250 0.250 x4

Summary:
* DFT total energy: -3.440 eV/atom
* polymorph energy (0 for the lowest one): 0 meV per atom

---

Record 4
The following is a DFT calculation (PBE-GGA) of a relaxed Co3SiH crystal.

abc: 3.517 3.517 3.517
angles: 90.00 90.00 90.00
Space group Pm-3m (No. 221)
Symmetry-distinct sites (fractional):
Co1 0.000 0.000 0.500 x3
Si1 0.500 0.500 0.500 x1
H1 0.000 0.000 0.000 x1

Summary:
* DFT total energy: -6.291 eV/atom
* polymorph energy (0 for the lowest one): 7 meV per atom

---

Q: Which of these has the lowest DFT total energy?
A: ScFeMoPb